No. 1
The following is a PBEsol calculation of K2CoSb after structural relaxation, from Alexandria via LeMat-Bulk.

Summary:
Space group: No. 139

Geometry as POSCAR:
```
K2CoSb
1.0
-2.145 2.145 5.370
2.145 -2.145 5.370
2.145 2.145 -5.370
K Co Sb
2 1 1
direct
0.250 0.750 0.500
0.750 0.250 0.500
0.000 0.000 0.000
0.500 0.500 0.000
```

=====

No. 2
The following is a PBEsol calculation of TeF6 after structural relaxation, from Alexandria via LeMat-Bulk.

Summary:
Space group: No. 148

Geometry as POSCAR:
```
TeF6
1.0
2.592 1.497 4.734
-2.592 1.497 4.734
0.000 -2.993 4.734
Te F
1 6
direct
0.000 0.000 0.000
0.078 0.783 0.366
0.217 0.634 0.922
0.366 0.078 0.783
0.634 0.922 0.217
0.783 0.366 0.078
0.922 0.217 0.634
```

=====

no.,raw formation energy (meV per atom),N(E_F) (states/eV per cell)
1,525,7.581
2,-2043,0.000